[1]
! La2SmTmSc (PBE, optimized geometry); values from VASP
! ΔE_f = 0.37 eV/atom
! total moment = 0.00 μB per atom
&SYSTEM
  ibrav = 0, nat = 10, ntyp = 4
/
ATOMIC_SPECIES
Sm 150.36 Sm.upf
La 138.91 La.upf
Sc 44.96 Sc.upf
Tm 168.93 Tm.upf
ATOMIC_POSITIONS crystal
Sm 0.7500 0.2690 0.5380
Sm 0.2500 0.7310 0.4620
La 0.0000 0.6990 0.0000
La 0.0000 0.3010 0.0000
La 0.5000 0.3010 0.0000
La 0.5000 0.6990 0.0000
Sc 0.2500 0.9900 0.9801
Sc 0.7500 0.0100 0.0199
Tm 0.2500 0.2556 0.5112
Tm 0.7500 0.7444 0.4888
CELL_PARAMETERS angstrom
7.2978 0.0000 0.0000
0.0000 8.2413 0.0000
0.0000 -4.1207 5.7449

***

[2]
! PrNd5Tl3 (PBE, optimized geometry); values from VASP
! ΔE_f = -0.27 eV/atom
! total moment = 0.21 μB per atom
! ΔE to the lowest computed polymorph = 0.0000 eV per atom
&SYSTEM
  ibrav = 0, nat = 18, ntyp = 3
/
ATOMIC_SPECIES
Nd 144.24 Nd.upf
Tl 204.38 Tl.upf
Pr 140.91 Pr.upf
ATOMIC_POSITIONS crystal
Nd 0.0000 0.3333 0.6666
Nd 0.2500 0.3322 0.3322
Nd 0.2500 0.6678 0.0000
Nd 0.2500 0.0000 0.6678
Nd 0.5000 0.6667 0.3334
Nd 0.7500 0.3322 0.0000
Nd 0.0000 0.6667 0.3334
Nd 0.7500 0.0000 0.3322
Nd 0.5000 0.3333 0.6666
Nd 0.7500 0.6678 0.6678
Tl 0.7500 0.3352 0.3351
Tl 0.2500 0.3352 0.0000
Tl 0.2500 0.6648 0.6649
Tl 0.7500 0.6648 0.0000
Tl 0.2500 0.0000 0.3351
Tl 0.7500 0.0000 0.6649
Pr 0.0000 0.0000 0.0000
Pr 0.5000 0.0000 0.0000
CELL_PARAMETERS angstrom
6.9626 0.0000 0.0000
0.0000 8.3822 -4.8396
0.0000 0.0003 9.6795

***

[3]
! LiSm2Hg6 (PBE, optimized geometry); values from VASP
! ΔE_f = -0.31 eV/atom
! total moment = 0.00 μB per atom
&SYSTEM
  ibrav = 0, nat = 9, ntyp = 3
/
ATOMIC_SPECIES
Sm 150.36 Sm.upf
Hg 200.59 Hg.upf
Li 6.94 Li.upf
ATOMIC_POSITIONS crystal
Sm 0.5000 0.7855 0.5710
Sm 0.5000 0.2145 0.4290
Hg 0.5000 0.7696 0.0000
Hg 0.0000 0.5573 0.7199
Hg 0.0000 0.4427 0.2801
Hg 0.5000 0.2304 0.0000
Hg 0.0000 0.8373 0.2801
Hg 0.0000 0.1627 0.7199
Li 0.0000 0.0000 0.0000
CELL_PARAMETERS angstrom
-0.8707 2.4830 -3.5422
-1.7315 -6.1474 -3.8834
-5.5732 3.6379 3.9198

***

[4]
! MnIn2Si (PBE, optimized geometry); values from VASP
! total moment = 0.88 μB per atom
! ΔE to the lowest computed polymorph = 0.2555 eV per atom
! formation energy without anion corrections = 0.41 eV/atom
&SYSTEM
  ibrav = 0, nat = 4, ntyp = 3
/
ATOMIC_SPECIES
In 114.82 In.upf
Si 28.09 Si.upf
Mn 54.94 Mn.upf
ATOMIC_POSITIONS crystal
In 0.9999 0.9999 0.9999
In 0.5001 0.5001 0.5001
Si 0.7500 0.7500 0.7500
Mn 0.2500 0.2500 0.2500
CELL_PARAMETERS angstrom
-2.7603 4.2400 -7.1881
-5.5960 2.9874 -6.0849
-4.4578 5.8181 -4.8523

***

[5]
! K2YSe (PBE, optimized geometry); values from VASP
! total moment = 0.04 μB per atom
! formation energy without anion corrections = -0.51 eV/atom
&SYSTEM
  ibrav = 0, nat = 4, ntyp = 3
/
ATOMIC_SPECIES
Y 88.91 Y.upf
K 39.10 K.upf
Se 78.96 Se.upf
ATOMIC_POSITIONS crystal
Y 0.6686 0.1686 0.5000
K 0.9874 0.9874 0.0000
K 0.3178 0.8178 0.5000
Se 0.5262 0.5262 0.0000
CELL_PARAMETERS angstrom
-0.0434 -4.0368 6.5682
-1.4930 -7.5631 0.0958
4.3702 5.9298 -2.2755

***

[6]
! CoBTe (PBE, optimized geometry); values from VASP
! total moment = 0.00 μB per atom
! ΔE to the lowest computed polymorph = 0.0000 eV per atom
! formation energy without anion corrections = 0.30 eV/atom
&SYSTEM
  ibrav = 0, nat = 12, ntyp = 3
/
ATOMIC_SPECIES
Te 127.60 Te.upf
Co 58.93 Co.upf
B 10.81 B.upf
ATOMIC_POSITIONS crystal
Te 0.8056 0.5870 0.3936
Te 0.4686 0.9130 0.2306
Te 0.8564 0.0870 0.4444
Te 0.0194 0.4130 0.7814
Co 0.3498 0.9108 0.9373
Co 0.3127 0.4108 0.9002
Co 0.6890 0.5892 0.0981
Co 0.1519 0.0892 0.5610
B 0.2966 0.1675 0.7334
B 0.0991 0.8325 0.8709
B 0.5166 0.6675 0.9534
B 0.3791 0.3325 0.1509
CELL_PARAMETERS angstrom
6.6349 0.5996 1.1472
-1.8441 5.5535 -0.2007
2.9467 2.8184 5.3918

***

[7]
! Bi2Sb2Pd (PBE, optimized geometry); values from VASP
! total moment = 0.00 μB per atom
! ΔE to the lowest computed polymorph = 0.2464 eV per atom
! formation energy without anion corrections = 0.17 eV/atom
&SYSTEM
  ibrav = 0, nat = 10, ntyp = 3
/
ATOMIC_SPECIES
Bi 208.98 Bi.upf
Sb 121.76 Sb.upf
Pd 106.42 Pd.upf
ATOMIC_POSITIONS crystal
Bi 0.6534 0.1534 0.0000
Bi 0.8466 0.6534 0.0000
Bi 0.3466 0.8466 0.0000
Bi 0.1534 0.3466 0.0000
Sb 0.2461 0.7461 0.5000
Sb 0.7539 0.2539 0.5000
Sb 0.7461 0.7539 0.5000
Sb 0.2539 0.2461 0.5000
Pd 0.0000 0.0000 0.0000
Pd 0.5000 0.5000 0.0000
CELL_PARAMETERS angstrom
-6.9661 0.8923 0.7506
-0.8176 -0.4960 -6.9980
-0.7082 -5.9540 0.5048

***

[8]
! EuEr2Ta (PBE, optimized geometry); values from VASP
! ΔE_f = 0.67 eV/atom
! total moment = 1.83 μB per atom
&SYSTEM
  ibrav = 0, nat = 4, ntyp = 3
/
ATOMIC_SPECIES
Ta 180.95 Ta.upf
Er 167.26 Er.upf
Eu 151.96 Eu.upf
ATOMIC_POSITIONS crystal
Ta 0.0000 0.0000 0.0000
Er 0.9189 0.9189 0.2433
Er 0.0811 0.0811 0.7567
Eu 0.5000 0.5000 0.5000
CELL_PARAMETERS angstrom
3.2619 0.0000 0.0000
1.6309 2.8249 0.0000
1.6309 0.9416 11.9364

***

[9]
! TiGaSe2N (PBE, optimized geometry); values from VASP
! total moment = 0.00 μB per atom
! ΔE to the lowest computed polymorph = 0.6222 eV per atom
! formation energy without anion corrections = 0.47 eV/atom
&SYSTEM
  ibrav = 0, nat = 5, ntyp = 4
/
ATOMIC_SPECIES
N 14.01 N.upf
Se 78.96 Se.upf
Ga 69.72 Ga.upf
Ti 47.87 Ti.upf
ATOMIC_POSITIONS crystal
N 0.0000 0.0000 0.5000
Se 0.0000 0.5000 0.0000
Se 0.5000 0.0000 0.0000
Ga 0.0000 0.0000 0.0000
Ti 0.5000 0.5000 0.5000
CELL_PARAMETERS angstrom
-3.1292 2.3965 3.2071
-2.1039 -4.4475 1.2706
2.3995 -0.3842 2.6283

***

[10]
! Co2Ni5Pt2 (PBE, optimized geometry); values from VASP
! ΔE_f = -0.05 eV/atom
! total moment = 0.87 μB per atom
&SYSTEM
  ibrav = 0, nat = 9, ntyp = 3
/
ATOMIC_SPECIES
Co 58.93 Co.upf
Ni 58.69 Ni.upf
Pt 195.08 Pt.upf
ATOMIC_POSITIONS crystal
Co 0.1169 0.2338 0.6750
Co 0.8831 0.7662 0.3250
Ni 0.3289 0.6577 0.0002
Ni 0.0000 0.0000 0.0000
Ni 0.6711 0.3423 0.9998
Ni 0.7743 0.5487 0.6691
Ni 0.2257 0.4513 0.3309
Pt 0.5569 0.1137 0.3284
Pt 0.4431 0.8863 0.6716
CELL_PARAMETERS angstrom
-0.4356 -3.6080 0.1196
5.6362 1.1500 -0.0567
-1.8082 0.4002 5.4888

***

[11]
! Nb3Mo8W (PBE, optimized geometry); values from VASP
! ΔE_f = -0.11 eV/atom
! total moment = 0.00 μB per atom
&SYSTEM
  ibrav = 0, nat = 12, ntyp = 3
/
ATOMIC_SPECIES
Nb 92.91 Nb.upf
Mo 95.94 Mo.upf
W 183.84 W.upf
ATOMIC_POSITIONS crystal
Nb 0.4165 0.6657 0.2491
Nb 0.4168 0.1676 0.7509
Nb 0.9167 0.4167 0.5000
Mo 0.7471 0.1647 0.0789
Mo 0.5874 0.9165 0.6703
Mo 0.2487 0.4168 0.8323
Mo 0.0862 0.6686 0.9211
Mo 0.0860 0.1645 0.4171
Mo 0.5847 0.4166 0.1677
Mo 0.7473 0.6688 0.5829
Mo 0.2459 0.9169 0.3297
W 0.9167 0.9167 0.0000
CELL_PARAMETERS angstrom
-6.9824 0.4160 -0.1067
5.2533 -4.5821 0.5389
0.4356 2.9239 6.2904

***

[12]
! ScTl2Cd (PBE, optimized geometry); values from VASP
! ΔE_f = -0.06 eV/atom
! total moment = 0.06 μB per atom
! ΔE to the lowest computed polymorph = 0.0776 eV per atom
&SYSTEM
  ibrav = 0, nat = 4, ntyp = 3
/
ATOMIC_SPECIES
Tl 204.38 Tl.upf
Sc 44.96 Sc.upf
Cd 112.41 Cd.upf
ATOMIC_POSITIONS crystal
Tl 0.5000 0.5000 0.2618
Tl 0.0000 0.0000 0.9755
Sc 0.5000 0.5000 0.7407
Cd 0.0000 0.0000 0.5220
CELL_PARAMETERS angstrom
-3.1713 1.1902 1.2599
1.1781 -0.4465 3.3872
2.7696 7.3709 0.0083

***

[13]
! GdTmAlHg (PBE, optimized geometry); values from VASP
! ΔE_f = -0.40 eV/atom
! total moment = 1.89 μB per atom
&SYSTEM
  ibrav = 0, nat = 4, ntyp = 4
/
ATOMIC_SPECIES
Hg 200.59 Hg.upf
Gd 157.25 Gd.upf
Tm 168.93 Tm.upf
Al 26.98 Al.upf
ATOMIC_POSITIONS crystal
Hg 0.7500 0.7500 0.7500
Gd 0.5000 0.5000 0.5000
Tm 0.0000 0.0000 0.0000
Al 0.2500 0.2500 0.2500
CELL_PARAMETERS angstrom
5.1984 0.0000 0.0000
2.5992 4.5019 0.0000
2.5992 1.5006 4.2444

***

[14]
! V2NiSnHg (PBE, optimized geometry); values from VASP
! ΔE_f = 1.39 eV/atom
! total moment = 0.00 μB per atom
&SYSTEM
  ibrav = 0, nat = 5, ntyp = 4
/
ATOMIC_SPECIES
Ni 58.69 Ni.upf
Hg 200.59 Hg.upf
Sn 118.71 Sn.upf
V 50.94 V.upf
ATOMIC_POSITIONS crystal
Ni 0.0000 0.5000 0.0000
Hg 0.5000 0.5000 0.5000
Sn 0.0000 0.0000 0.0000
V 0.0000 0.0000 0.5000
V 0.5000 0.0000 0.0000
CELL_PARAMETERS angstrom
-3.3494 1.0142 -3.4370
1.9689 -3.0398 -2.8158
-2.9000 -3.5309 1.7841

***

[15]
! LaRe2Se (PBE, optimized geometry); values from VASP
! total moment = 0.00 μB per atom
! formation energy without anion corrections = 0.73 eV/atom
&SYSTEM
  ibrav = 0, nat = 4, ntyp = 3
/
ATOMIC_SPECIES
La 138.91 La.upf
Re 186.21 Re.upf
Se 78.96 Se.upf
ATOMIC_POSITIONS crystal
La 0.5000 0.5000 0.7500
Re 0.0000 0.0000 0.0641
Re 0.0000 0.0000 0.4359
Se 0.5000 0.5000 0.2500
CELL_PARAMETERS angstrom
3.1060 0.0000 0.0000
0.0000 3.1060 0.0000
0.0000 0.0000 7.8739

***

[16]
! Mg2TiTc (PBE, optimized geometry); values from VASP
! ΔE_f = 0.35 eV/atom
! total moment = 0.00 μB per atom
! ΔE to the lowest computed polymorph = 0.0000 eV per atom
&SYSTEM
  ibrav = 0, nat = 4, ntyp = 3
/
ATOMIC_SPECIES
Ti 47.87 Ti.upf
Mg 24.30 Mg.upf
Tc 98.00 Tc.upf
ATOMIC_POSITIONS crystal
Ti 0.0000 0.0000 0.0000
Mg 0.7500 0.7500 0.7500
Mg 0.2500 0.2500 0.2500
Tc 0.5000 0.5000 0.5000
CELL_PARAMETERS angstrom
0.0000 3.2408 3.2408
3.2408 0.0000 3.2408
3.2408 3.2408 0.0000

***

[17]
! Tl2CdNiSn (PBE, optimized geometry); values from VASP
! ΔE_f = 0.12 eV/atom
! total moment = 0.00 μB per atom
! ΔE to the lowest computed polymorph = 0.0000 eV per atom
&SYSTEM
  ibrav = 0, nat = 5, ntyp = 4
/
ATOMIC_SPECIES
Tl 204.38 Tl.upf
Ni 58.69 Ni.upf
Sn 118.71 Sn.upf
Cd 112.41 Cd.upf
ATOMIC_POSITIONS crystal
Tl 0.5000 0.0000 0.0000
Tl 0.0000 0.5000 0.0000
Ni 0.0000 0.0000 0.0000
Sn 0.0000 0.0000 0.5000
Cd 0.5000 0.5000 0.5000
CELL_PARAMETERS angstrom
-1.2340 1.8323 -4.6578
-4.9691 -1.0239 0.9137
-0.5870 4.6040 1.9666

***

[18]
! Nd6Sm2YTh (PBE, optimized geometry); values from VASP
! ΔE_f = 0.14 eV/atom
! total moment = 0.00 μB per atom
&SYSTEM
  ibrav = 0, nat = 20, ntyp = 4
/
ATOMIC_SPECIES
Sm 150.36 Sm.upf
Nd 144.24 Nd.upf
Th 232.04 Th.upf
Y 88.91 Y.upf
ATOMIC_POSITIONS crystal
Sm 0.4540 0.8038 0.7127
Sm 0.5460 0.1962 0.2873
Sm 0.9540 0.7127 0.8038
Sm 0.0460 0.2873 0.1962
Nd 0.0551 0.1108 0.7504
Nd 0.8788 0.2979 0.5061
Nd 0.4449 0.2496 0.8892
Nd 0.1212 0.7021 0.4939
Nd 0.5551 0.7504 0.1108
Nd 0.3788 0.5061 0.2979
Nd 0.1862 0.5768 0.0149
Nd 0.6212 0.4939 0.7021
Nd 0.9449 0.8892 0.2496
Nd 0.3138 0.9851 0.4232
Nd 0.6862 0.0149 0.5768
Nd 0.8138 0.4232 0.9851
Th 0.2500 0.9782 0.0218
Th 0.7500 0.0218 0.9782
Y 0.2500 0.4064 0.5936
Y 0.7500 0.5936 0.4064
CELL_PARAMETERS angstrom
9.4354 -2.2556 -2.3408
0.7725 8.6395 -1.9824
0.7725 -2.3013 8.5601

***

[19]
! La2HoTc2C4 (PBE, optimized geometry); values from VASP
! ΔE_f = -0.07 eV/atom
! total moment = 0.00 μB per atom
&SYSTEM
  ibrav = 0, nat = 9, ntyp = 4
/
ATOMIC_SPECIES
C 12.01 C.upf
Tc 98.00 Tc.upf
La 138.91 La.upf
Ho 164.93 Ho.upf
ATOMIC_POSITIONS crystal
C 0.4490 0.8981 0.2282
C 0.7806 0.5612 0.8084
C 0.2194 0.4388 0.1916
C 0.5510 0.1019 0.7718
Tc 0.6793 0.3586 0.0049
Tc 0.3207 0.6414 0.9951
La 0.8689 0.7378 0.4722
La 0.1311 0.2622 0.5278
Ho 0.0000 0.0000 0.0000
CELL_PARAMETERS angstrom
-0.5590 3.1947 -1.4032
-6.6047 -2.6622 1.0197
1.7203 2.6330 5.3093

***

[20]
! Cs4Zn3AgF12 (PBE, optimized geometry); values from VASP
! total moment = 0.05 μB per atom
! formation energy without anion corrections = -2.32 eV/atom
&SYSTEM
  ibrav = 0, nat = 20, ntyp = 4
/
ATOMIC_SPECIES
F 19.00 F.upf
Cs 132.91 Cs.upf
Zn 65.41 Zn.upf
Ag 107.87 Ag.upf
ATOMIC_POSITIONS crystal
F 0.2689 0.2689 0.0000
F 0.5000 0.2500 0.7500
F 0.2500 0.5000 0.7500
F 0.7500 0.5000 0.2500
F 0.7311 0.7311 0.0000
F 0.7311 0.0000 0.7311
F 0.0000 0.7311 0.7311
F 0.2500 0.7500 0.5000
F 0.0000 0.2689 0.2689
F 0.2689 0.0000 0.2689
F 0.5000 0.7500 0.2500
F 0.7500 0.2500 0.5000
Cs 0.0000 0.5000 0.0000
Cs 0.0000 0.0000 0.5000
Cs 0.5000 0.0000 0.0000
Cs 0.5000 0.5000 0.5000
Zn 0.0000 0.5000 0.5000
Zn 0.5000 0.5000 0.0000
Zn 0.5000 0.0000 0.5000
Ag 0.0000 0.0000 0.0000
CELL_PARAMETERS angstrom
7.5404 0.0000 0.0000
-2.5135 7.1092 0.0000
-2.5135 -3.5546 6.1567

***

[21]
! Pu2SbAs3 (PBE, optimized geometry); values from VASP
! total moment = 1.85 μB per atom
! formation energy without anion corrections = -0.43 eV/atom
&SYSTEM
  ibrav = 0, nat = 12, ntyp = 3
/
ATOMIC_SPECIES
Pu 244.00 Pu.upf
As 74.92 As.upf
Sb 121.76 Sb.upf
ATOMIC_POSITIONS crystal
Pu 0.7500 0.1652 0.4221
Pu 0.2500 0.5779 0.8348
Pu 0.7500 0.4221 0.1652
Pu 0.2500 0.8348 0.5779
As 0.5000 0.7835 0.2165
As 0.7500 0.5872 0.5872
As 0.2500 0.4128 0.4128
As 0.5000 0.2165 0.7835
As 0.0000 0.7835 0.2165
As 0.0000 0.2165 0.7835
Sb 0.7500 0.9011 0.9011
Sb 0.2500 0.0989 0.0989
CELL_PARAMETERS angstrom
5.2714 0.0000 0.0000
0.0000 7.8194 -0.4195
0.0000 -2.9636 7.2481

***

[22]
! NaTiFeSe3 (PBE, optimized geometry); values from VASP
! total moment = 0.45 μB per atom
! formation energy without anion corrections = -0.89 eV/atom
&SYSTEM
  ibrav = 0, nat = 12, ntyp = 4
/
ATOMIC_SPECIES
Na 22.99 Na.upf
Se 78.96 Se.upf
Fe 55.84 Fe.upf
Ti 47.87 Ti.upf
ATOMIC_POSITIONS crystal
Na 0.2500 0.2382 0.2690
Na 0.7500 0.7618 0.7310
Se 0.2500 0.0914 0.8552
Se 0.7500 0.4392 0.1332
Se 0.2500 0.7432 0.4567
Se 0.2500 0.5608 0.8668
Se 0.7500 0.2568 0.5433
Se 0.7500 0.9086 0.1448
Fe 0.2500 0.0740 0.5950
Fe 0.7500 0.9260 0.4050
Ti 0.2500 0.6899 0.1691
Ti 0.7500 0.3101 0.8309
CELL_PARAMETERS angstrom
-0.6556 0.5525 -3.5272
3.9505 -6.6046 -1.7688
-9.0784 -1.9472 1.3824

***

[23]
! ZrPaNi (PBE, optimized geometry); values from VASP
! ΔE_f = -0.22 eV/atom
! total moment = 0.00 μB per atom
! ΔE to the lowest computed polymorph = 0.0637 eV per atom
&SYSTEM
  ibrav = 0, nat = 6, ntyp = 3
/
ATOMIC_SPECIES
Zr 91.22 Zr.upf
Ni 58.69 Ni.upf
Pa 231.04 Pa.upf
ATOMIC_POSITIONS crystal
Zr 0.1600 0.9406 0.7394
Zr 0.8400 0.0594 0.2606
Ni 0.8787 0.6721 0.5704
Ni 0.1213 0.3279 0.4296
Pa 0.4029 0.3714 0.8229
Pa 0.5971 0.6286 0.1771
CELL_PARAMETERS angstrom
3.3076 0.0000 0.0000
1.6538 6.6627 -0.4621
1.6538 0.8355 5.4055

***

[24]
! CsHfP2Cl (PBE, optimized geometry); values from VASP
! total moment = 0.00 μB per atom
! ΔE to the lowest computed polymorph = 0.0000 eV per atom
! formation energy without anion corrections = -0.70 eV/atom
&SYSTEM
  ibrav = 0, nat = 5, ntyp = 4
/
ATOMIC_SPECIES
P 30.97 P.upf
Hf 178.49 Hf.upf
Cs 132.91 Cs.upf
Cl 35.45 Cl.upf
ATOMIC_POSITIONS crystal
P 0.0000 0.5000 0.0000
P 0.5000 0.0000 0.0000
Hf 0.0000 0.0000 0.0000
Cs 0.5000 0.5000 0.5000
Cl 0.0000 0.0000 0.5000
CELL_PARAMETERS angstrom
5.0231 0.0000 0.0000
0.0000 5.0231 0.0000
0.0000 0.0000 5.5445